# 1
Here is Ac6Pt2PbSe3 after structural relaxation from the Alexandria database. Energies are from GGA-PBE. Values from VASP.

Computed properties:
size of the total moment: 0.00 μB per cell
final energy: -5.62 eV/atom
energy relative to the elements, uncorrected: -132.8 kJ per mole of atoms

```
&SYSTEM
  ibrav = 0, nat = 12, ntyp = 4
/
ATOMIC_SPECIES
Se 78.96 Se.upf
Ac 227.00 Ac.upf
Pt 195.08 Pt.upf
Pb 207.20 Pb.upf
ATOMIC_POSITIONS crystal
Se 0.500 0.500 0.000
Se 0.162 0.837 0.324
Se 0.838 0.163 0.676
Ac 0.675 0.569 0.349
Ac 0.006 0.264 0.013
Ac 0.994 0.736 0.987
Ac 0.325 0.431 0.651
Ac 0.672 0.103 0.343
Ac 0.328 0.897 0.657
Pt 0.169 0.336 0.338
Pt 0.831 0.664 0.662
Pb 0.500 0.000 0.000
CELL_PARAMETERS angstrom
-2.609 -3.159 -1.778
0.749 -5.038 7.854
-6.722 7.546 2.063
```

# 2
Here is Ac3Si2Pt9Pb after structural relaxation from the Alexandria database. Energies are from GGA-PBE. Values from VASP.

Computed properties:
size of the total moment: 0.00 μB per cell
final energy: -6.07 eV/atom
energy relative to the elements, uncorrected: -62.8 kJ per mole of atoms

```
&SYSTEM
  ibrav = 0, nat = 15, ntyp = 4
/
ATOMIC_SPECIES
Pt 195.08 Pt.upf
Ac 227.00 Ac.upf
Si 28.09 Si.upf
Pb 207.20 Pb.upf
ATOMIC_POSITIONS crystal
Pt 0.363 0.182 0.692
Pt 0.637 0.818 0.308
Pt 0.500 0.500 0.000
Pt 0.818 0.637 0.692
Pt 0.500 0.000 0.000
Pt 0.000 0.500 0.000
Pt 0.182 0.363 0.308
Pt 0.818 0.182 0.692
Pt 0.182 0.818 0.308
Ac 0.000 0.000 0.000
Ac 0.667 0.333 0.344
Ac 0.333 0.667 0.656
Si 0.667 0.333 0.871
Si 0.333 0.667 0.129
Pb 0.000 0.000 0.500
CELL_PARAMETERS angstrom
-6.023 4.338 0.254
2.504 -2.498 -6.531
-4.146 -5.793 0.627
```